1.
Density functional theory data (PBE-GGA) for a relaxed ZnReTe2I crystal.

Unit cell a=5.3506 b=5.3506 c=5.3722 alpha=90.00 beta=90.00 gamma=90.00
Sites, in units of the cell vectors:
1 Zn 0.0000 0.0000 0.0000
2 Re 0.5000 0.5000 0.5000
3 Te 0.0000 0.5000 0.0000
4 Te 0.5000 0.0000 0.0000
5 I 0.0000 0.0000 0.5000

Summary:
* crystal system: tetragonal
* ΔE_f (raw): 6.87 eV/f.u.
* SG: P4/mmm, No. 123
* ΔE to the lowest computed polymorph: 0.711 eV/atom

=====

2.
Density functional theory data (PBE-GGA) for a relaxed CaLaPb2 crystal.

Unit cell a=10.6602 b=10.6602 c=10.6602 alpha=20.50 beta=20.50 gamma=20.50
Sites, in units of the cell vectors:
1 Ca 0.0000 0.0000 0.0000
2 La 0.5000 0.5000 0.5000
3 Pb 0.2524 0.2524 0.2524
4 Pb 0.7476 0.7476 0.7476

Summary:
* crystal system: trigonal
* energy relative to the elements: -1.6 eV/f.u.
* SG: R-3m, No. 166

=====

3.
Density functional theory data (PBE-GGA) for a relaxed LiTa2P crystal.

Unit cell a=4.4311 b=4.4311 c=3.0827 alpha=90.13 beta=90.13 gamma=102.07
Sites, in units of the cell vectors:
1 Li 0.0000 0.0000 0.0000
2 Ta 0.0000 0.5000 0.5000
3 Ta 0.5000 0.0000 0.5000
4 P 0.5000 0.5000 0.0000

Summary:
* crystal system: monoclinic
* energy relative to the elements: -0.1 eV/f.u.
* SG: C2/m, No. 12

=====

4.
Density functional theory data (PBE-GGA) for a relaxed CaFeCl2 crystal.

Unit cell a=4.1235 b=6.0945 c=6.0945 alpha=34.77 beta=90.00 gamma=90.00
Sites, in units of the cell vectors:
1 Ca 0.0000 0.0000 0.0000
2 Fe 0.5000 0.3727 0.3727
3 Cl 0.0000 0.3116 0.3116
4 Cl 0.5000 0.5863 0.5863

Summary:
* crystal system: orthorhombic
* ΔE_f (raw): -3.30 eV/f.u.
* SG: Amm2, No. 38
* ΔE to the lowest computed polymorph: 0.000 eV/atom

=====

5.
Density functional theory data (PBE-GGA) for a relaxed Y2NiBPd crystal.

Unit cell a=5.0117 b=5.0117 c=4.5135 alpha=90.00 beta=90.00 gamma=90.00
Sites, in units of the cell vectors:
1 Y 0.0000 0.5000 0.0000
2 Y 0.5000 0.0000 0.0000
3 Ni 0.0000 0.0000 0.0000
4 B 0.5000 0.5000 0.5000
5 Pd 0.0000 0.0000 0.5000

Summary:
* crystal system: tetragonal
* energy relative to the elements: 2.9 eV/f.u.
* SG: P4/mmm, No. 123
* ΔE to the lowest computed polymorph: 1.029 eV/atom

=====

6.
Density functional theory data (PBE-GGA) for a relaxed Ba2LaO crystal.

Unit cell a=11.0628 b=11.0628 c=11.0628 alpha=20.12 beta=20.12 gamma=20.12
Sites, in units of the cell vectors:
1 Ba 0.1181 0.1181 0.1181
2 Ba 0.8819 0.8819 0.8819
3 La 0.0000 0.0000 0.0000
4 O 0.5000 0.5000 0.5000

Summary:
* crystal system: trigonal
* ΔE_f (raw): -3.98 eV/f.u.
* SG: R-3m, No. 166

=====

7.
Density functional theory data (PBE-GGA) for a relaxed SmGe4Rh5 crystal.

Unit cell a=6.9334 b=8.8964 c=5.7294 alpha=90.00 beta=90.00 gamma=90.00
Sites, in units of the cell vectors:
1 Sm 0.2500 0.2500 0.0245
2 Sm 0.7500 0.7500 0.9755
3 Ge 0.0545 0.2500 0.5397
4 Ge 0.2500 0.5905 0.0008
5 Ge 0.2500 0.9095 0.0008
6 Ge 0.4455 0.2500 0.5397
7 Ge 0.5545 0.7500 0.4603
8 Ge 0.7500 0.0905 0.9992
9 Ge 0.7500 0.4095 0.9992
10 Ge 0.9455 0.7500 0.4603
11 Rh 0.0058 0.0009 0.2640
12 Rh 0.0058 0.4991 0.2640
13 Rh 0.2500 0.7500 0.6622
14 Rh 0.4942 0.0009 0.2640
15 Rh 0.4942 0.4991 0.2640
16 Rh 0.5058 0.5009 0.7360
17 Rh 0.5058 0.9991 0.7360
18 Rh 0.7500 0.2500 0.3378
19 Rh 0.9942 0.5009 0.7360
20 Rh 0.9942 0.9991 0.7360

Summary:
* crystal system: orthorhombic
* energy relative to the elements: -5.2 eV/f.u.
* SG: Pmmn, No. 59

=====

8.
Density functional theory data (PBE-GGA) for a relaxed CaCdPb crystal.

Unit cell a=4.7972 b=4.7132 c=7.8445 alpha=90.00 beta=107.71 gamma=90.00
Sites, in units of the cell vectors:
1 Ca 0.0000 0.0000 0.0000
2 Ca 0.3120 0.0000 0.6240
3 Cd 0.1572 0.5000 0.3157
4 Cd 0.8236 0.5000 0.6462
5 Pb 0.4745 0.5000 0.9496
6 Pb 0.6623 0.0000 0.3241

Summary:
* crystal system: monoclinic
* energy relative to the elements: -0.9 eV/f.u.
* SG: Pm, No. 6

=====

9.
Density functional theory data (PBE-GGA) for a relaxed HgAuBr2 crystal.

Unit cell a=3.7083 b=3.7083 c=8.0218 alpha=90.00 beta=90.00 gamma=90.00
Sites, in units of the cell vectors:
1 Hg 0.0000 0.0000 0.0000
2 Au 0.5000 0.5000 0.2034
3 Br 0.0000 0.0000 0.3863
4 Br 0.5000 0.5000 0.8120

Summary:
* crystal system: tetragonal
* ΔE_f (raw): 0.50 eV/f.u.
* SG: P4mm, No. 99
* ΔE to the lowest computed polymorph: 0.245 eV/atom

=====

10.
Density functional theory data (PBE-GGA) for a relaxed AlSbP2 crystal.

Unit cell a=3.6243 b=3.7965 c=5.8024 alpha=90.00 beta=90.00 gamma=90.00
Sites, in units of the cell vectors:
1 Al 0.0000 0.0000 0.0000
2 Sb 0.0000 0.5000 0.5000
3 P 0.5000 0.0000 0.5000
4 P 0.5000 0.5000 0.0000

Summary:
* crystal system: orthorhombic
* ΔE_f (raw): 1.62 eV/f.u.
* SG: Pmmm, No. 47
* ΔE to the lowest computed polymorph: 0.474 eV/atom

=====

11.
Density functional theory data (PBE-GGA) for a relaxed LaTmCd2Au4 crystal.

Unit cell a=8.7023 b=8.7023 c=8.7023 alpha=33.35 beta=33.35 gamma=33.35
Sites, in units of the cell vectors:
1 La 0.0000 0.0000 0.0000
2 Tm 0.5000 0.5000 0.5000
3 Cd 0.2499 0.2499 0.2499
4 Cd 0.7501 0.7501 0.7501
5 Au 0.1307 0.1307 0.1307
6 Au 0.3817 0.3817 0.3817
7 Au 0.6183 0.6183 0.6183
8 Au 0.8693 0.8693 0.8693

Summary:
* crystal system: trigonal
* energy relative to the elements: -5.3 eV/f.u.
* SG: R-3m, No. 166

=====

12.
Density functional theory data (PBE-GGA) for a relaxed Ti2CuTc2 crystal.

Unit cell a=7.0303 b=7.0303 c=3.1207 alpha=90.00 beta=90.00 gamma=90.00
Sites, in units of the cell vectors:
1 Ti 0.1441 0.3559 0.0000
2 Ti 0.3559 0.8559 0.0000
3 Ti 0.6441 0.1441 0.0000
4 Ti 0.8559 0.6441 0.0000
5 Cu 0.0000 0.0000 0.0000
6 Cu 0.5000 0.5000 0.0000
7 Tc 0.1605 0.6605 0.5000
8 Tc 0.3395 0.1605 0.5000
9 Tc 0.6605 0.8395 0.5000
10 Tc 0.8395 0.3395 0.5000

Summary:
* crystal system: tetragonal
* energy relative to the elements: 0.5 eV/f.u.
* SG: P4/mbm, No. 127
* ΔE to the lowest computed polymorph: 0.082 eV/atom

=====

For reference, magnetic moment by record: 4.40, 0.00, 0.00, 2.01, 0.00, 0.53, 0.00, 0.00, 0.00, 0.00, 0.00, 0.00 μB/cell.